DFT (GGA-PBE) results for an optimized crystal structure of Sr3Hg2Mo2.

Properties
**Magnetization**: 0.0034 μB per atom
**Calculated density**: 7.443 g cm⁻³

Unit cell a=4.9064 b=4.9064 c=27.4787 alpha=90.00 beta=90.00 gamma=120.00
Space group R3m (No. 160, hexagonal axes)
Symmetry-distinct sites (fractional):
Sr (0.0000, 0.0000, 0.0000)
Sr (0.0000, 0.0000, 0.2424)
Sr (0.0000, 0.0000, 0.4947)
Hg (0.0000, 0.0000, 0.1111)
Hg (0.0000, 0.0000, 0.6315)
Mo (0.0000, 0.0000, 0.3864)
Mo (0.0000, 0.0000, 0.7363)


DFT (GGA-PBE) results for an optimized crystal structure of TcHgMo.

Properties
**Magnetization**: 0.0045 μB per atom
**Energy of formation**: 0.932 eV per atom
**Calculated density**: 11.056 g cm⁻³

Unit cell a=6.1886 b=6.1886 c=6.1886 alpha=90.00 beta=90.00 gamma=90.00
Space group F-43m (No. 216)
Symmetry-distinct sites (fractional):
Tc (0.0000, 0.0000, 0.0000)
Hg (0.2500, 0.2500, 0.2500)
Mo (0.2500, 0.2500, 0.7500)


DFT (GGA-PBE) results for an optimized crystal structure of ThHgMo.

Properties
**Magnetization**: 0.4711 μB per atom
**Energy of formation**: 0.827 eV per atom
**Calculated density**: 10.810 g cm⁻³

Unit cell a=6.8737 b=6.8737 c=6.8737 alpha=90.00 beta=90.00 gamma=90.00
Space group F-43m (No. 216)
Symmetry-distinct sites (fractional):
Th (0.0000, 0.0000, 0.0000)
Hg (0.2500, 0.2500, 0.7500)
Mo (0.0000, 0.0000, 0.5000)


DFT (GGA-PBE) results for an optimized crystal structure of TmHgMo.

Properties
**Magnetization**: 1.0298 μB per atom
**Energy of formation**: 1.006 eV per atom
**Calculated density**: 9.940 g cm⁻³

Unit cell a=6.7754 b=6.7754 c=6.7754 alpha=90.00 beta=90.00 gamma=90.00
Space group F-43m (No. 216)
Symmetry-distinct sites (fractional):
Tm (0.0000, 0.0000, 0.0000)
Hg (0.2500, 0.2500, 0.7500)
Mo (0.2500, 0.2500, 0.2500)


DFT (GGA-PBE) results for an optimized crystal structure of TmHgMo.

Properties
**Magnetization**: 0.7770 μB per atom
**Energy of formation**: 0.737 eV per atom
**Calculated density**: 10.263 g cm⁻³

Unit cell a=6.7035 b=6.7035 c=6.7035 alpha=90.00 beta=90.00 gamma=90.00
Space group F-43m (No. 216)
Symmetry-distinct sites (fractional):
Tm (0.0000, 0.0000, 0.0000)
Hg (0.2500, 0.2500, 0.7500)
Mo (0.0000, 0.0000, 0.5000)


DFT (GGA-PBE) results for an optimized crystal structure of YHgMo2.

Properties
**Magnetization**: 0.0650 μB per atom
**Energy of formation**: 0.377 eV per atom
**Calculated density**: 10.309 g cm⁻³

Unit cell a=6.7690 b=6.7690 c=6.7690 alpha=90.00 beta=90.00 gamma=90.00
Space group F-43m (No. 216)
Symmetry-distinct sites (fractional):
Y (0.0000, 0.0000, 0.0000)
Hg (0.2500, 0.2500, 0.7500)
Mo (0.0000, 0.0000, 0.5000)
Mo (0.2500, 0.2500, 0.2500)


DFT (GGA-PBE) results for an optimized crystal structure of Y2HgMo.

Properties
**Magnetization**: 0.0037 μB per atom
**Energy of formation**: 0.346 eV per atom
**Calculated density**: 8.772 g cm⁻³

Unit cell a=7.1084 b=7.1084 c=7.1084 alpha=90.00 beta=90.00 gamma=90.00
Space group F-43m (No. 216)
Symmetry-distinct sites (fractional):
Y (0.0000, 0.0000, 0.0000)
Y (0.2500, 0.2500, 0.2500)
Hg (0.0000, 0.0000, 0.5000)
Mo (0.2500, 0.2500, 0.7500)


DFT (GGA-PBE) results for an optimized crystal structure of Zn2HgMo.

Properties
**Magnetization**: 0.4938 μB per atom
**Energy of formation**: 0.522 eV per atom
**Calculated density**: 10.455 g cm⁻³

Unit cell a=6.4752 b=6.4752 c=6.4752 alpha=90.00 beta=90.00 gamma=90.00
Space group F-43m (No. 216)
Symmetry-distinct sites (fractional):
Zn (0.0000, 0.0000, 0.0000)
Zn (0.2500, 0.2500, 0.2500)
Hg (0.2500, 0.2500, 0.7500)
Mo (0.0000, 0.0000, 0.5000)


DFT (GGA-PBE) results for an optimized crystal structure of Zr2HgMo.

Properties
**Magnetization**: 0.0170 μB per atom
**Energy of formation**: 0.236 eV per atom
**Calculated density**: 10.057 g cm⁻³

Unit cell a=6.8137 b=6.8137 c=6.8137 alpha=90.00 beta=90.00 gamma=90.00
Space group F-43m (No. 216)
Symmetry-distinct sites (fractional):
Zr (0.0000, 0.0000, 0.0000)
Zr (0.2500, 0.2500, 0.2500)
Hg (0.0000, 0.0000, 0.5000)
Mo (0.2500, 0.2500, 0.7500)


DFT (GGA-PBE) results for an optimized crystal structure of ZrHgMo.

Properties
**Magnetization**: 0.0013 μB per atom
**Energy of formation**: 0.864 eV per atom
**Calculated density**: 9.491 g cm⁻³

Unit cell a=6.4742 b=6.4742 c=6.4742 alpha=90.00 beta=90.00 gamma=90.00
Space group F-43m (No. 216)
Symmetry-distinct sites (fractional):
Zr (0.0000, 0.0000, 0.0000)
Hg (0.2500, 0.2500, 0.7500)
Mo (0.0000, 0.0000, 0.5000)


DFT (GGA-PBE) results for an optimized crystal structure of NaHgNO.

Properties
**Calculated density**: 6.169 g cm⁻³

Unit cell a=3.4163 b=6.4290 c=6.2159 alpha=90.00 beta=90.00 gamma=90.00
Space group Pmc2_1 (No. 26)
Symmetry-distinct sites (fractional):
Na (0.0000, 0.1514, 0.0000)
Hg (0.5000, 0.3513, 0.4933)
N (0.5000, 0.3590, 0.8280)
O (0.0000, 0.1710, 0.3608)


DFT (GGA-PBE) results for an optimized crystal structure of NaHgNO.

Properties
**Calculated density**: 8.070 g cm⁻³

Unit cell a=4.8418 b=4.8418 c=4.4514 alpha=90.00 beta=90.00 gamma=90.00
Space group P4/nmm (No. 129, origin choice 2)
Symmetry-distinct sites (fractional):
Na (0.2500, 0.7500, 0.0000)
Hg (0.2500, 0.2500, 0.4983)
N (0.2500, 0.2500, 0.9984)
O (0.2500, 0.7500, 0.5000)


DFT (GGA-PBE) results for an optimized crystal structure of NaHgNO.

Properties
**Calculated density**: 6.389 g cm⁻³

Unit cell a=3.9145 b=5.9277 c=5.6812 alpha=90.00 beta=90.00 gamma=90.00
Space group Pmc2_1 (No. 26)
Symmetry-distinct sites (fractional):
Na (0.0000, 0.2267, 0.0000)
Hg (0.5000, 0.2720, 0.4978)
N (0.0000, 0.1834, 0.4417)
O (0.5000, 0.3606, 0.8719)


DFT (GGA-PBE) results for an optimized crystal structure of NaHgNO.

Properties
**Calculated density**: 6.727 g cm⁻³

Unit cell a=7.5575 b=7.3438 c=4.5114 alpha=90.00 beta=90.00 gamma=90.00
Space group Pbcm (No. 57)
Symmetry-distinct sites (fractional):
Na (0.1147, 0.1028, 0.2500)
Hg (0.3445, 0.5916, 0.2500)
N (0.4036, 0.6236, 0.7500)
O (0.1371, 0.0897, 0.7500)


DFT (GGA-PBE) results for an optimized crystal structure of NaHgNO.

Properties
**Calculated density**: 8.278 g cm⁻³

Unit cell a=4.6606 b=4.6606 c=4.6838 alpha=90.00 beta=90.00 gamma=90.00
Space group P4/nmm (No. 129, origin choice 2)
Symmetry-distinct sites (fractional):
Na (0.2500, 0.2500, 0.0054)
Hg (0.2500, 0.7500, 0.5000)
N (0.2500, 0.2500, 0.5066)
O (0.2500, 0.7500, 0.0000)


DFT (GGA-PBE) results for an optimized crystal structure of NdHgNO.

Properties
**Magnetization**: 0.0001 μB per atom
**Calculated density**: 6.547 g cm⁻³

Unit cell a=4.1499 b=7.0206 c=6.5260 alpha=90.00 beta=90.00 gamma=90.00
Space group Pmc2_1 (No. 26)
Symmetry-distinct sites (fractional):
Nd (0.0000, 0.1503, 0.0000)
Hg (0.5000, 0.4907, 0.6813)
N (0.5000, 0.3211, 0.9365)
O (0.0000, 0.1157, 0.3302)


DFT (GGA-PBE) results for an optimized crystal structure of NdHgNO.

Properties
**Magnetization**: 0.0005 μB per atom
**Calculated density**: 9.881 g cm⁻³

Unit cell a=5.1761 b=5.1761 c=4.7025 alpha=90.00 beta=90.00 gamma=90.00
Space group P4/nmm (No. 129, origin choice 2)
Symmetry-distinct sites (fractional):
Nd (0.2500, 0.7500, 0.0000)
Hg (0.2500, 0.2500, 0.4967)
N (0.2500, 0.2500, 0.9972)
O (0.2500, 0.7500, 0.5000)


DFT (GGA-PBE) results for an optimized crystal structure of NdHgNO.

Properties
**Magnetization**: 0.0000 μB per atom
**Calculated density**: 9.536 g cm⁻³

Unit cell a=3.9807 b=3.9807 c=8.2382 alpha=90.00 beta=90.00 gamma=90.00
Space group P4/nmm (No. 129, origin choice 2)
Symmetry-distinct sites (fractional):
Nd (0.2500, 0.2500, 0.1455)
Hg (0.2500, 0.7500, 0.5000)
N (0.2500, 0.2500, 0.6868)
O (0.2500, 0.7500, 0.0000)


DFT (GGA-PBE) results for an optimized crystal structure of NdHgNO.

Properties
**Magnetization**: 0.0003 μB per atom
**Calculated density**: 8.493 g cm⁻³

Unit cell a=4.0802 b=6.2560 c=5.7425 alpha=90.00 beta=90.00 gamma=90.00
Space group Pmc2_1 (No. 26)
Symmetry-distinct sites (fractional):
Nd (0.0000, 0.2090, 0.0000)
Hg (0.5000, 0.2670, 0.4843)
N (0.0000, 0.1604, 0.4197)
O (0.5000, 0.3444, 0.9142)


DFT (GGA-PBE) results for an optimized crystal structure of Ni3HgN.

Properties
**Magnetization**: 0.0019 μB per atom
**Calculated density**: 9.843 g cm⁻³

Unit cell a=10.1785 b=10.1785 c=10.1785 alpha=90.00 beta=90.00 gamma=90.00
Space group Fd-3m (No. 227, origin choice 2)
Symmetry-distinct sites (fractional):
Ni (0.0561, 0.3750, 0.3750)
Hg (0.0000, 0.0000, 0.5000)
N (0.0000, 0.0000, 0.0000)


| no. | E (eV/atom) | V (Å³ per atom) |
| --- | --- | --- |
| 1 | -3.528 | 27.28 |
| 2 | -6.237 | 19.75 |
| 3 | -5.360 | 27.06 |
| 4 | -4.201 | 25.92 |
| 5 | -4.470 | 25.10 |
| 6 | -6.737 | 19.38 |
| 7 | -5.673 | 22.45 |
| 8 | -2.897 | 16.97 |
| 9 | -6.824 | 19.77 |
| 10 | -5.700 | 22.61 |
| 11 | -3.173 | 17.07 |
| 12 | -3.183 | 13.04 |
| 13 | -3.212 | 16.48 |
| 14 | -3.334 | 15.65 |
| 15 | -3.265 | 12.72 |
| 16 | -5.670 | 23.77 |
| 17 | -5.547 | 15.75 |
| 18 | -5.529 | 16.32 |
| 19 | -5.624 | 18.32 |
| 20 | -5.063 | 13.18 |